1.
Material: TiCu2I4
Method: DFT, PBE
State: relaxed

a = 6.1537 Å, b = 6.1537 Å, c = 7.5964 Å
α = 113.89°, β = 113.89°, γ = 90.00°
Positions (direct):
Ti1 0.5000 0.5000 0.0000
Cu1 0.7500 0.2500 0.5000
Cu2 0.2500 0.7500 0.5000
I1 0.8880 0.3721 0.2601
I2 0.3721 0.8880 0.2601
I3 0.6279 0.6279 0.7399
I4 0.1120 0.1120 0.7399

Properties
DFT total energy: -24.12 eV per cell
crystal system: tetragonal
M_tot: 2.0 μB per cell
calculated volume: 33.685 Å³/atom
ΔE_f (raw): -1.8 eV/f.u.

2.
Material: TiCuI2
Method: DFT, PBE
State: relaxed

a = 5.0619 Å, b = 5.0619 Å, c = 5.0619 Å
α = 60.00°, β = 60.00°, γ = 60.00°
Positions (direct):
I1 0.2500 0.2500 0.2500
I2 0.7500 0.7500 0.7500
Cu1 0.5000 0.5000 0.5000
Ti1 0.0000 0.0000 0.0000

Properties
DFT total energy: -13.96 eV per cell
crystal system: cubic
M_tot: 1.6 μB per cell
calculated volume: 22.927 Å³/atom
ΔE_f (raw): 1.1 eV/f.u.

3.
Material: TiCuI
Method: DFT, PBE
State: relaxed

a = 3.7114 Å, b = 3.7122 Å, c = 10.8604 Å
α = 90.00°, β = 90.00°, γ = 119.99°
Positions (direct):
Cu1 0.6108 0.2217 0.0000
Cu2 0.2785 0.5569 0.5000
I1 0.6110 0.2220 0.3171
I2 0.6110 0.2220 0.6829
Ti1 0.2777 0.5553 0.8679
Ti2 0.2777 0.5553 0.1321

Properties
DFT total energy: -25.52 eV per cell
crystal system: orthorhombic
M_tot: 2.7 μB per cell
calculated volume: 21.598 Å³/atom
ΔE_f (raw): 0.8 eV/f.u.

4.
Material: Ti2Cu2I
Method: DFT, PBE
State: relaxed

a = 3.8607 Å, b = 3.8607 Å, c = 6.8899 Å
α = 73.73°, β = 73.73°, γ = 90.00°
Positions (direct):
I1 0.0000 0.0000 0.0000
Cu1 0.3973 0.3973 0.2053
Cu2 0.6027 0.6027 0.7947
Ti1 0.7500 0.2500 0.5000
Ti2 0.2500 0.7500 0.5000

Properties
DFT total energy: -23.35 eV per cell
crystal system: tetragonal
M_tot: 0.0 μB per cell
calculated volume: 18.858 Å³/atom
ΔE_f (raw): 2.2 eV/f.u.

5.
Material: TiCu2I6
Method: DFT, PBE
State: relaxed

a = 7.3075 Å, b = 9.2989 Å, c = 9.2989 Å
α = 83.61°, β = 82.35°, γ = 82.35°
Positions (direct):
Ti1 0.2500 0.1082 0.8918
Ti2 0.7500 0.8918 0.1082
Cu1 0.1579 0.6105 0.7547
Cu2 0.3421 0.2453 0.3895
Cu3 0.8421 0.3895 0.2453
Cu4 0.6579 0.7547 0.6105
I1 0.3473 0.7251 0.5355
I2 0.1527 0.4645 0.2749
I3 0.6527 0.2749 0.4645
I4 0.8473 0.5355 0.7251
I5 0.8495 0.8759 0.3706
I6 0.6505 0.6294 0.1241
I7 0.1505 0.1241 0.6294
I8 0.3495 0.3706 0.8759
I9 0.1047 0.8158 0.9583
I10 0.3953 0.0417 0.1842
I11 0.8953 0.1842 0.0417
I12 0.6047 0.9583 0.8158

Properties
DFT total energy: -57.97 eV per cell
crystal system: monoclinic
M_tot: 0.1 μB per cell
calculated volume: 34.325 Å³/atom
ΔE_f (raw): -3.6 eV/f.u.

6.
Material: Ti2Cu2I
Method: DFT, PBE
State: relaxed

a = 7.1081 Å, b = 7.1081 Å, c = 3.4606 Å
α = 90.00°, β = 90.00°, γ = 90.00°
Positions (direct):
I1 0.0000 0.0000 0.0000
I2 0.5000 0.5000 0.0000
Cu1 0.3767 0.8767 0.0000
Cu2 0.8767 0.6233 0.0000
Cu3 0.6233 0.1233 0.0000
Cu4 0.1233 0.3767 0.0000
Ti1 0.1606 0.6606 0.5000
Ti2 0.6606 0.8394 0.5000
Ti3 0.8394 0.3394 0.5000
Ti4 0.3394 0.1606 0.5000

Properties
DFT total energy: -47.90 eV per cell
crystal system: tetragonal
M_tot: 3.6 μB per cell
calculated volume: 17.485 Å³/atom
ΔE_f (raw): 1.6 eV/f.u.

7.
Material: Ti3CuI
Method: DFT, PBE
State: relaxed

a = 4.7137 Å, b = 4.7137 Å, c = 4.7137 Å
α = 90.00°, β = 90.00°, γ = 90.00°
Positions (direct):
I1 0.5000 0.5000 0.5000
Cu1 0.0000 0.0000 0.0000
Ti1 0.0000 0.5000 0.0000
Ti2 0.0000 0.0000 0.5000
Ti3 0.5000 0.0000 0.0000

Properties
DFT total energy: -26.25 eV per cell
crystal system: cubic
M_tot: 1.8 μB per cell
calculated volume: 20.947 Å³/atom
ΔE_f (raw): 3.1 eV/f.u.

8.
Material: Ti2CuI
Method: DFT, PBE
State: relaxed

a = 5.7518 Å, b = 5.7518 Å, c = 7.3401 Å
α = 66.93°, β = 66.93°, γ = 90.00°
Positions (direct):
I1 0.0000 0.0000 0.0000
I2 0.7500 0.2500 0.5000
Cu1 0.5000 0.5000 0.0000
Cu2 0.2500 0.7500 0.5000
Ti1 0.5560 0.1250 0.2500
Ti2 0.1940 0.6250 0.2500
Ti3 0.3750 0.4440 0.7500
Ti4 0.8750 0.8060 0.7500

Properties
DFT total energy: -37.56 eV per cell
crystal system: tetragonal
M_tot: 0.0 μB per cell
calculated volume: 25.269 Å³/atom
ΔE_f (raw): 2.7 eV/f.u.

9.
Material: TiCuI2
Method: DFT, PBE
State: relaxed

a = 6.4323 Å, b = 6.4323 Å, c = 7.4882 Å
α = 64.56°, β = 64.56°, γ = 90.00°
Positions (direct):
I1 0.6502 0.1250 0.2500
I2 0.0998 0.6250 0.2500
I3 0.3750 0.3498 0.7500
I4 0.8750 0.9002 0.7500
Cu1 0.0000 0.0000 0.0000
Cu2 0.7500 0.2500 0.5000
Ti1 0.5000 0.5000 0.0000
Ti2 0.2500 0.7500 0.5000

Properties
DFT total energy: -29.04 eV per cell
crystal system: tetragonal
M_tot: 6.0 μB per cell
calculated volume: 30.765 Å³/atom
ΔE_f (raw): 0.6 eV/f.u.

10.
Material: TiCuI4
Method: DFT, PBE
State: relaxed

a = 7.8339 Å, b = 7.8339 Å, c = 9.8903 Å
α = 90.00°, β = 90.00°, γ = 90.00°
Positions (direct):
Ti1 0.0000 0.5000 0.0000
Ti2 0.5000 0.0000 0.5000
Cu1 0.0000 0.0000 0.5000
Cu2 0.0000 0.0000 0.0000
I1 0.7500 0.2407 0.5000
I2 0.7593 0.2500 0.0000
I3 0.7500 0.7593 0.5000
I4 0.2407 0.7500 0.0000
I5 0.2500 0.7593 0.5000
I6 0.2407 0.2500 0.0000
I7 0.7593 0.7500 0.0000
I8 0.2500 0.2407 0.5000

Properties
DFT total energy: -39.68 eV per cell
crystal system: tetragonal
M_tot: 2.5 μB per cell
calculated volume: 50.580 Å³/atom
ΔE_f (raw): -1.7 eV/f.u.

11.
Material: TiCu2I8
Method: DFT, PBE
State: relaxed

a = 6.6727 Å, b = 9.7359 Å, c = 8.4795 Å
α = 125.04°, β = 99.97°, γ = 90.00°
Positions (direct):
Ti1 0.0000 0.0000 0.0000
Cu1 0.3102 0.8209 0.6418
Cu2 0.6898 0.1791 0.3582
I1 0.7926 0.8757 0.1580
I2 0.2074 0.7176 0.8420
I3 0.7038 0.8258 0.6516
I4 0.2962 0.1742 0.3484
I5 0.7926 0.2824 0.1580
I6 0.2074 0.1243 0.8420
I7 0.1617 0.6397 0.2795
I8 0.8383 0.3603 0.7205

Properties
DFT total energy: -31.93 eV per cell
crystal system: monoclinic
M_tot: 0.0 μB per cell
calculated volume: 40.077 Å³/atom
ΔE_f (raw): -3.4 eV/f.u.

12.
Material: TiCuI4
Method: DFT, PBE
State: relaxed

a = 6.3208 Å, b = 6.3243 Å, c = 13.4057 Å
α = 90.00°, β = 90.00°, γ = 90.00°
Positions (direct):
Ti1 0.0000 0.5000 0.0000
Ti2 0.0000 0.0000 0.5000
Cu1 0.0000 0.0000 0.0000
Cu2 0.5000 0.0000 0.5000
I1 0.2329 0.2462 0.1137
I2 0.2329 0.7538 0.8863
I3 0.7671 0.2462 0.8863
I4 0.7671 0.7538 0.1137
I5 0.7460 0.7675 0.6139
I6 0.7460 0.2325 0.3861
I7 0.2540 0.7675 0.3861
I8 0.2540 0.2325 0.6139

Properties
DFT total energy: -42.58 eV per cell
crystal system: orthorhombic
M_tot: 2.0 μB per cell
calculated volume: 44.657 Å³/atom
ΔE_f (raw): -3.1 eV/f.u.